--- P ---
# Zr2Sn2Pd | Alexandria | PBE | optimized geometry
data_Zr2Sn2Pd
_chemical_formula_sum 'Zr4 Sn4 Pd2'
_space_group_name_H-M_alt 'P 4/m b m'
_space_group_IT_number 127
_space_group_name_Hall '-P 4 2ab'
_cell_length_a 6.9958
_cell_length_b 6.9958
_cell_length_c 4.4146
_cell_angle_alpha 90.00
_cell_angle_beta 90.00
_cell_angle_gamma 90.00
loop_
_atom_site_label
_atom_site_type_symbol
_atom_site_fract_x
_atom_site_fract_y
_atom_site_fract_z
Zr1 Zr 0.1654 0.3346 0.0000
Sn1 Sn 0.1429 0.6429 0.5000
Pd1 Pd 0.0000 0.0000 0.5000
# Magnetization in μB per cell: 0.00


--- Q ---
# Zr2Sn2Pd | Alexandria | PBE | optimized geometry
data_Zr2Sn2Pd
_chemical_formula_sum 'Zr4 Sn4 Pd2'
_space_group_name_H-M_alt 'I 4/m m m'
_space_group_IT_number 139
_space_group_name_Hall '-I 4 2'
_cell_length_a 3.9853
_cell_length_b 3.9853
_cell_length_c 14.7595
_cell_angle_alpha 90.00
_cell_angle_beta 90.00
_cell_angle_gamma 90.00
loop_
_atom_site_label
_atom_site_type_symbol
_atom_site_fract_x
_atom_site_fract_y
_atom_site_fract_z
Zr1 Zr 0.0000 0.5000 0.2500
Sn1 Sn 0.0000 0.0000 0.0915
Pd1 Pd 0.0000 0.0000 0.5000
# Magnetization in μB per cell: 0.00


Which of the structures shown above is the most stable? The most stable is P.